Compound: Zn2AgMo
Source: Alexandria via LeMat-Bulk
Functional: PBE
Structure: relaxed

Structure (CIF):
```
data_Zn2AgMo
_cell_length_a 5.588
_cell_length_b 5.588
_cell_length_c 5.588
_cell_angle_alpha 152.08
_cell_angle_beta 129.59
_cell_angle_gamma 58.61
_space_group_name_H-M_alt 'P 1'
_space_group_IT_number 1
_space_group_name_Hall 'P 1'
loop_
_atom_site_label
_atom_site_fract_x
_atom_site_fract_y
_atom_site_fract_z
Ag1 0.512 0.512 0.000
Mo1 0.240 0.740 0.500
Zn1 0.992 0.992 0.000
Zn2 0.757 0.257 0.500
```

## Properties
**ΔE_f**: 246 meV per atom
**Energy relative to the lowest polymorph listed for this composition**: 0.196 eV/atom
**Space-group type**: Imm2, No. 44
**Volume**: 15.63 Å³ per atom